Computed, not measured: Na3In3PbI8 after structural relaxation at the GGA-PBE level of DFT.

Geometry as POSCAR:
```
Na3In3PbI8
1.0
-5.012 -6.490 -4.705
4.700 -2.430 7.844
-7.946 5.575 0.773
In I Na Pb
3 8 3 1
Cartesian
2.350 -1.215 3.922
-0.156 -4.460 1.569
0.000 0.000 0.000
-1.047 -1.399 3.045
-7.211 -1.946 0.867
-5.909 -3.429 -3.228
-2.349 0.084 7.140
-3.400 -0.181 -0.873
-4.702 1.302 3.213
-4.858 -3.165 4.785
-3.555 -4.647 0.699
-6.479 -0.457 -1.966
-1.623 1.573 4.309
-4.129 -1.673 1.956
-3.973 2.788 0.387
```

Properties
- E_form (uncorrected) (eV/atom) = -0.810
- space group = C2/m, No. 12